## RbGa3Sn (PBE)

Data for an optimized crystal structure of RbGa3Sn.

extended XYZ file:
```
5
Lattice="-1.9205 -4.1991 3.2229 -0.8148 -3.1530 -4.5937 5.2302 -2.0331 0.4677" Properties=species:S:1:pos:R:3 pbc="T T T"
Ga -0.9603 -2.0996 1.6114
Ga 2.6151 -1.0166 0.2339
Ga -0.4074 -1.5765 -2.2968
Rb 1.2474 -4.6926 -0.4515
Sn 0.0000 0.0000 0.0000
```

**ΔE to the lowest computed polymorph**: 1.81 eV per formula unit
**Density of states at the Fermi level**: 2.99 states/eV/cell
**Energy of formation from the pure elements**: 275 meV/atom
**Space-group type**: Pm-3m, No. 221
**Total magnetization**: 0.000 Bohr magnetons per cell